Entry 1:
This record from Alexandria via LeMat-Bulk describes crystalline RbRu3Pb at its relaxed geometry. The functional is PBE.

Space-group type ... Pm-3m, No. 221
Excess energy over the best structure of this formula in the dataset ... 4.196 eV/f.u.
Formation enthalpy at 0 K ... 2.731 eV per atom

Unit cell a=4.900 b=4.900 c=4.900 alpha=90.00 beta=90.00 gamma=90.00
Site moments in Bohr magnetons follow the coordinates.
Atoms (fractional coordinates):
Pb (0.500, 0.500, 0.500)  -0.06
Rb (0.000, 0.000, 0.000)  0.04
Ru (0.000, 0.000, 0.500)  1.44
Ru (0.500, 0.000, 0.000)  1.47
Ru (0.000, 0.500, 0.000)  1.66


Entry 2:
This record from Alexandria via LeMat-Bulk describes crystalline RbRu2PbS at its relaxed geometry. The functional is PBE.

Space-group type ... P4/mmm, No. 123
Raw formation energy ... 2175 meV/atom

Unit cell a=4.872 b=5.810 c=4.872 alpha=90.00 beta=90.00 gamma=90.00
Site moments in Bohr magnetons follow the coordinates.
Atoms (fractional coordinates):
Ru (0.000, 0.000, 0.500)  1.60
Ru (0.500, 0.000, 0.000)  1.73
Rb (0.000, 0.000, 0.000)  0.02
Pb (0.500, 0.500, 0.500)  -0.04
S (0.000, 0.500, 0.000)  0.11


Entry 3:
This record from Alexandria via LeMat-Bulk describes crystalline RbSbRu2Pb at its relaxed geometry. The functional is PBE.

Space-group type ... P4/mmm, No. 123
Raw formation energy ... 1587 meV/atom

Unit cell a=5.151 b=6.028 c=5.151 alpha=90.00 beta=90.00 gamma=90.00
Site moments in Bohr magnetons follow the coordinates.
Atoms (fractional coordinates):
Pb (0.000, 0.000, 0.000)  -0.07
Sb (0.500, 0.500, 0.500)  0.00
Rb (0.000, 0.500, 0.000)  0.00
Ru (0.000, 0.000, 0.500)  1.68
Ru (0.500, 0.000, 0.000)  1.48


Entry 4:
This record from Alexandria via LeMat-Bulk describes crystalline RbTaRu2Pb at its relaxed geometry. The functional is PBE.

Space-group type ... P4/mmm, No. 123
Formation enthalpy at 0 K ... 2.167 eV per atom

Unit cell a=5.157 b=5.280 c=5.157 alpha=90.00 beta=90.00 gamma=90.00
Atoms (fractional coordinates):
Ru (0.000, 0.000, 0.500)
Ru (0.500, 0.000, 0.000)
Ta (0.000, 0.500, 0.000)
Rb (0.500, 0.500, 0.500)
Pb (0.000, 0.000, 0.000)


Entry 5:
This record from Alexandria via LeMat-Bulk describes crystalline RbTeRuPb2 at its relaxed geometry. The functional is PBE.

Space-group type ... P4/mmm, No. 123
Raw formation energy ... 1627 meV/atom

Unit cell a=6.122 b=4.784 c=6.122 alpha=90.00 beta=90.00 gamma=90.00
Atoms (fractional coordinates):
Pb (0.500, 0.000, 0.000)
Pb (0.000, 0.000, 0.500)
Te (0.500, 0.500, 0.500)
Ru (0.000, 0.500, 0.000)
Rb (0.000, 0.000, 0.000)


Entry 6:
This record from Alexandria via LeMat-Bulk describes crystalline Rb2TiRuPb at its relaxed geometry. The functional is PBE.

Space-group type ... P4/mmm, No. 123
Formation enthalpy at 0 K ... 1.458 eV per atom

Unit cell a=6.869 b=5.144 c=6.869 alpha=90.00 beta=90.00 gamma=90.00
Site moments in Bohr magnetons follow the coordinates.
Atoms (fractional coordinates):
Pb (0.000, 0.000, 0.000)  0.04
Ti (0.500, 0.500, 0.500)  2.10
Rb (0.000, 0.000, 0.500)  0.01
Rb (0.500, 0.000, 0.000)  0.01
Ru (0.000, 0.500, 0.000)  -1.34


Entry 7:
This record from Alexandria via LeMat-Bulk describes crystalline RbTl2RuPb at its relaxed geometry. The functional is PBE.

Space-group type ... P4/mmm, No. 123
Formation enthalpy at 0 K ... 0.117 eV per atom

Unit cell a=5.409 b=5.409 c=5.375 alpha=90.00 beta=90.00 gamma=90.00
Atoms (fractional coordinates):
Rb (0.500, 0.500, 0.500)
Pb (0.000, 0.000, 0.500)
Tl (0.500, 0.000, 0.000)
Tl (0.000, 0.500, 0.000)
Ru (0.000, 0.000, 0.000)


Entry 8:
This record from Alexandria via LeMat-Bulk describes crystalline RbPb2S2 at its relaxed geometry. The functional is PBE.

Space-group type ... C2/c, No. 15
Excess energy over the best structure of this formula in the dataset ... 0.487 eV/f.u.
Raw formation energy ... -438 meV/atom

Unit cell a=7.965 b=7.965 c=7.621 alpha=115.87 beta=115.87 gamma=99.80
Atoms (fractional coordinates):
S (0.844, 0.656, 0.250)
S (0.156, 0.344, 0.750)
S (0.594, 0.906, 0.750)
S (0.406, 0.094, 0.250)
Pb (0.485, 0.736, 0.971)
Pb (0.236, 0.985, 0.471)
Pb (0.764, 0.015, 0.529)
Pb (0.515, 0.264, 0.029)
Rb (0.125, 0.375, 0.250)
Rb (0.875, 0.625, 0.750)


Please write out number 4 again, unchanged.
This record from Alexandria via LeMat-Bulk describes crystalline RbTaRu2Pb at its relaxed geometry. The functional is PBE.

Space-group type ... P4/mmm, No. 123
Formation enthalpy at 0 K ... 2.167 eV per atom

Unit cell a=5.157 b=5.280 c=5.157 alpha=90.00 beta=90.00 gamma=90.00
Atoms (fractional coordinates):
Ru (0.000, 0.000, 0.500)
Ru (0.500, 0.000, 0.000)
Ta (0.000, 0.500, 0.000)
Rb (0.500, 0.500, 0.500)
Pb (0.000, 0.000, 0.000)